# 1
## ZnCu6Pt (GGA-PBE)

Data for a relaxed ZnCu6Pt crystal.

The space group is P-6m2 (No. 187) and the conventional cell measures 5.2409, 5.2409 and 4.2831 Å, with angles of 90.00, 90.00 and 120.00 degrees. The asymmetric unit holds Zn at (0.0000, 0.0000, 0.0000), Cu at (0.0063, 0.5032, 0.0000), Cu at (0.1680, 0.3360, 0.5000) and Pt at (0.6667, 0.3333, 0.5000).

Its formation energy is -69 kJ/mol of formula units. The total magnetization is 0.0 Bohr magnetons per cell.

=====

# 2
## SiBiSe2Br (GGA-PBE)

Data for a relaxed SiBiSe2Br crystal.

The space group is P4/mmm (No. 123) and the conventional cell measures 5.019, 5.019 and 4.909 Å, with angles of 90.00, 90.00 and 90.00 degrees. The asymmetric unit holds Si at (0.000, 0.000, 0.000), Bi at (0.500, 0.500, 0.500), Se at (0.000, 0.500, 0.000) and Br at (0.000, 0.000, 0.500).

The total magnetization is 0.0 Bohr magnetons per cell. The value obtained for the formation energy without anion corrections is 88 meV per atom.

=====

# 3
## Si2HgI (GGA-PBE)

Data for a relaxed Si2HgI crystal.

The space group is C2/m (No. 12) and the conventional cell measures 15.845, 3.988 and 9.027 Å, with angles of 90.00, 104.91 and 90.00 degrees. The asymmetric unit holds Si at (0.159, 0.000, 0.408), Si at (0.185, 0.500, 0.557), Hg at (0.051, 0.000, 0.147) and I at (0.126, 0.500, 0.791).

The total magnetization is 0.0 Bohr magnetons per cell. The value obtained for the formation energy without anion corrections is 63 meV per atom.

=====

# 4
## Cr2NiAu (GGA-PBE)

Data for a relaxed Cr2NiAu crystal.

The space group is P4/mmm (No. 123) and the conventional cell measures 2.619, 2.619 and 7.684 Å, with angles of 90.00, 90.00 and 90.00 degrees. The asymmetric unit holds Cr at (0.000, 0.000, 0.223), Ni at (0.500, 0.500, 0.000) and Au at (0.500, 0.500, 0.500).

Its formation energy is 125 kJ/mol of formula units. The total magnetization is 2.0 Bohr magnetons per cell.

=====

# 5
## PrErLuMg (GGA-PBE)

Data for a relaxed PrErLuMg crystal.

The space group is F-43m (No. 216) and the conventional cell measures 7.806, 7.806 and 7.806 Å, with angles of 90.00, 90.00 and 90.00 degrees. The asymmetric unit holds Pr at (0.000, 0.000, 0.000), Er at (0.000, 0.000, 0.500), Lu at (0.250, 0.250, 0.250) and Mg at (0.250, 0.250, 0.750).

Its formation energy is 9 kJ/mol of formula units. The total magnetization is 0.0 Bohr magnetons per cell.

=====

# 6
## NaCaTi2 (GGA-PBE)

Data for a relaxed NaCaTi2 crystal.

The space group is I-42d (No. 122) and the conventional cell measures 8.428, 8.428 and 5.472 Å, with angles of 90.00, 90.00 and 90.00 degrees. The asymmetric unit holds Na at (0.000, 0.000, 0.000), Ca at (0.000, 0.000, 0.500) and Ti at (0.238, 0.750, 0.125).

Its formation energy is 395 kJ/mol of formula units. The total magnetization is 7.0 Bohr magnetons per cell.

=====

# 7
## CaH3Ir (GGA-PBE)

Data for a relaxed CaH3Ir crystal.

The space group is C2/m (No. 12) and the conventional cell measures 12.112, 3.048 and 5.579 Å, with angles of 90.00, 97.29 and 90.00 degrees. The asymmetric unit holds Ca at (0.144, 0.000, 0.216), H at (0.038, 0.000, 0.812), H at (0.163, 0.000, 0.623), H at (0.187, 0.500, 0.941) and Ir at (0.089, 0.500, 0.695).

The total magnetization is 0.0 Bohr magnetons per cell. As for the total energy: -4.475 eV/atom.

=====

# 8
## Tb3Dy6Ho2Th (GGA-PBE)

Data for a relaxed Tb3Dy6Ho2Th crystal.

The space group is C2/m (No. 12) and the conventional cell measures 6.149, 10.641 and 11.767 Å, with angles of 90.00, 100.02 and 90.00 degrees. The asymmetric unit holds Tb at (0.000, 0.000, 0.000), Tb at (0.000, 0.333, 0.000), Dy at (0.247, 0.500, 0.251), Dy at (0.249, 0.335, 0.749), Ho at (0.000, 0.167, 0.500) and Th at (0.000, 0.500, 0.500).

Its formation energy is 25 kJ/mol of formula units. The total magnetization is 0.0 Bohr magnetons per cell.

=====

# 9
## Th2Ga4Ge2Os (GGA-PBE)

Data for a relaxed Th2Ga4Ge2Os crystal.

The space group is I4/mmm (No. 139) and the conventional cell measures 6.282, 6.282 and 8.998 Å, with angles of 90.00, 90.00 and 90.00 degrees. The asymmetric unit holds Th at (0.000, 0.500, 0.250), Ga at (0.215, 0.215, 0.000), Ge at (0.000, 0.000, 0.221) and Os at (0.000, 0.000, 0.500).

Its formation energy is -378 kJ/mol of formula units. The total magnetization is 0.0 Bohr magnetons per cell.

=====

# 10
## LaTb2In (GGA-PBE)

Data for a relaxed LaTb2In crystal.

The space group is R-3m (No. 166, hexagonal axes) and the conventional cell measures 3.5106, 3.5106 and 35.7937 Å, with angles of 90.00, 90.00 and 120.00 degrees. The asymmetric unit holds La at (0.0000, 0.0000, 0.0000), Tb at (0.0000, 0.0000, 0.0961) and In at (0.0000, 0.0000, 0.5000).

Its formation energy is 6 kJ/mol of formula units. The total magnetization is 0.0 Bohr magnetons per cell.

=====

# 11
## ThFeGe (GGA-PBE)

Data for a relaxed ThFeGe crystal.

The space group is P6_222 (No. 180) and the conventional cell measures 6.2514, 6.2514 and 11.5707 Å, with angles of 90.00, 90.00 and 120.00 degrees. The asymmetric unit holds Th at (0.0000, 0.5000, 0.3955), Fe at (0.2139, 0.6070, 0.1667), Ge at (0.0000, 0.0000, 0.1667) and Ge at (0.0000, 0.5000, 0.6667).

Its formation energy is 47 kJ/mol of formula units. The total magnetization is 5.0 Bohr magnetons per cell.

=====

# 12
## CuB3W (GGA-PBE)

Data for a relaxed CuB3W crystal.

The space group is Pm-3m (No. 221) and the conventional cell measures 3.754, 3.754 and 3.754 Å, with angles of 90.00, 90.00 and 90.00 degrees. The asymmetric unit holds Cu at (0.000, 0.000, 0.000), B at (0.000, 0.000, 0.500) and W at (0.500, 0.500, 0.500).

Its formation energy is 823 kJ/mol of formula units. The total magnetization is 0.0 Bohr magnetons per cell.